PBE+U Mo3OsO, relaxed; uncorrected energy = -26.811 eV/cell; crystal system = cubic; SG = Pm-3m, No. 221
1.0
5.026 0.000 0.000
0.000 5.026 0.000
0.000 0.000 5.026
Mo O Os
3 1 1
Cartesian
2.513 0.000 0.000
0.000 2.513 0.000
0.000 0.000 2.513
2.513 2.513 2.513
0.000 0.000 0.000